Entry 1:
Material: Li3MnSb4O12
Method: DFT, PBEsol
State: relaxed

Cell and atoms, written as extended XYZ:
```
20
Lattice="5.2374 0.0005 0.0004 0.0053 5.5219 0.0028 0.0060 0.5422 7.5985" Properties=species:S:1:pos:R:3 pbc="T T T"
Li 2.6261 0.7167 5.9314
Li 5.2417 3.5617 5.9449
Li 2.6256 0.4425 2.1129
Mn 5.2377 3.2382 2.0921
Sb 0.0122 6.0589 7.5303
Sb 2.6238 2.9576 3.8219
Sb 0.0234 5.7388 3.8057
Sb 2.6121 3.2457 7.5256
O 3.6781 4.5541 3.1618
O 4.5338 5.7278 5.6621
O 3.5329 0.9439 0.3884
O 4.2257 1.8331 3.1697
O 1.0120 2.1491 6.9433
O 3.3514 2.9712 5.6657
O 1.9453 2.6922 1.8539
O 4.3116 3.7075 0.3566
O 0.8888 3.9039 4.1492
O 1.5868 4.8761 6.9501
O 0.6779 5.4260 1.8462
O 1.7498 1.1494 4.1706
```

Summary:
Volume (Å³ per cell): 220
Density of states at the Fermi level (states/eV/f.u.): 1.64
Formation energy without anion corrections (eV per atom): -1.58
VASP energy (eV/cell): -128.57
Symmetry: P1 (1)

***

Entry 2:
Material: MnNiMo3
Method: DFT, PBEsol
State: relaxed

Cell and atoms, written as extended XYZ:
```
5
Lattice="-0.0378 2.9660 3.1572 -4.3314 0.0242 -0.0746 -0.0687 -3.1574 2.9654" Properties=species:S:1:pos:R:3 pbc="T T T"
Ni -2.2189 -0.0836 3.0240
Mo -2.1657 0.0121 -0.0373
Mo -0.0343 -1.5787 1.4827
Mo -0.0189 1.4830 1.5786
Mn 0.0000 0.0000 0.0000
```

Summary:
Volume (Å³ per cell): 81
Density of states at the Fermi level (states/eV/f.u.): 5.05
VASP energy (eV/cell): -44.67
Symmetry: Pm-3m (221)
DFT formation energy (eV per atom): 1.31

***

Entry 3:
Material: Rb3NiF6
Method: DFT, PBEsol
State: relaxed

Cell and atoms, written as extended XYZ:
```
10
Lattice="6.2716 0.0000 0.0000 3.1358 5.4314 0.0000 3.1358 1.8105 5.1208" Properties=species:S:1:pos:R:3 pbc="T T T"
Ni 0.0000 0.0000 0.0000
Rb 6.2716 3.6209 2.5604
Rb 3.1358 1.8105 1.2802
Rb 9.4074 5.4314 3.8406
F 4.4594 4.6672 1.0807
F 4.4594 2.5746 4.0401
F 8.0839 4.6672 1.0807
F 6.2716 5.7135 4.0401
F 8.0839 2.5746 4.0401
F 6.2716 1.5283 1.0807
```

Summary:
Volume (Å³ per cell): 174
Density of states at the Fermi level (states/eV/f.u.): 6.09
Formation energy without anion corrections (eV per atom): -2.35
VASP energy (eV/cell): -44.31
Symmetry: Fm-3m (225)

***

Entry 4:
Material: Tl3CrHg
Method: DFT, PBEsol
State: relaxed

Cell and atoms, written as extended XYZ:
```
5
Lattice="-2.2910 0.9753 4.9441 -3.5315 -4.1850 -0.8108 3.5949 -3.4896 2.3542" Properties=species:S:1:pos:R:3 pbc="T T T"
Cr -1.1138 -3.3497 3.2437
Tl -1.7657 -2.0925 -0.4054
Tl 1.7975 -1.7448 1.1771
Tl -1.1455 0.4877 2.4720
Hg 0.0000 0.0000 0.0000
```

Summary:
Volume (Å³ per cell): 170
Density of states at the Fermi level (states/eV/f.u.): 3.12
VASP energy (eV/cell): -14.03
Symmetry: Pm-3m (221)
DFT formation energy (eV per atom): 0.93

***

Entry 5:
Material: SiBAsBr2
Method: DFT, PBEsol
State: relaxed

Cell and atoms, written as extended XYZ:
```
5
Lattice="4.5362 0.0000 0.0000 0.0000 4.5362 0.0000 0.0000 0.0000 4.5262" Properties=species:S:1:pos:R:3 pbc="T T T"
As 0.0000 0.0000 2.2631
B 0.0000 0.0000 0.0000
Si 2.2681 2.2681 2.2631
Br 0.0000 2.2681 0.0000
Br 2.2681 0.0000 0.0000
```

Summary:
Volume (Å³ per cell): 93
Density of states at the Fermi level (states/eV/f.u.): 2.36
Formation energy without anion corrections (eV per atom): 0.83
VASP energy (eV/cell): -17.46
Symmetry: P4/mmm (123)

***

Entry 6:
Material: La2Ti2Ru
Method: DFT, PBEsol
State: relaxed

Cell and atoms, written as extended XYZ:
```
5
Lattice="-2.3857 2.4829 0.5318 -2.3212 -1.8367 -1.8378 -0.5150 -4.8174 8.7675" Properties=species:S:1:pos:R:3 pbc="T T T"
Ru 0.0000 0.0000 0.0000
Ti -2.5948 -3.1655 3.1384
Ti -2.6271 -1.0057 4.3232
La -2.3645 -3.7048 6.6889
La -2.8574 -0.4665 0.7726
```

Summary:
Volume (Å³ per cell): 118
Density of states at the Fermi level (states/eV/f.u.): 4.85
VASP energy (eV/cell): -35.92
Symmetry: I4/mmm (139)
DFT formation energy (eV per atom): 0.32

***

Entry 7:
Material: ScCu3
Method: DFT, PBEsol
State: relaxed

Cell and atoms, written as extended XYZ:
```
4
Lattice="3.8429 0.0000 0.0000 0.0000 3.8528 0.0000 -1.9214 -1.9264 3.6715" Properties=species:S:1:pos:R:3 pbc="T T T"
Sc 0.0000 1.9264 0.0000
Cu 1.9215 1.9264 1.8370
Cu 0.0000 0.0000 1.8345
Cu 1.9214 0.0000 0.0000
```

Summary:
Volume (Å³ per cell): 54
Density of states at the Fermi level (states/eV/f.u.): 1.92
VASP energy (eV/cell): -20.26
Symmetry: I4/mmm (139)
DFT formation energy (eV per atom): -0.16

***

Entry 8:
Material: Rb2LaCl5
Method: DFT, PBEsol
State: relaxed

Cell and atoms, written as extended XYZ:
```
32
Lattice="8.1766 0.0000 0.0000 0.0000 8.9174 0.0000 0.0000 0.0000 13.0962" Properties=species:S:1:pos:R:3 pbc="T T T"
Rb 3.6756 4.5001 10.8483
Rb 4.5010 4.4173 2.2479
Rb 7.7639 4.4173 8.7959
Rb 4.5010 0.0414 2.2479
Rb 0.4127 4.5001 4.3002
Rb 3.6756 8.8760 10.8483
Rb 0.4127 8.8760 4.3002
Rb 7.7639 0.0414 8.7959
La 3.5039 2.2293 6.6194
La 4.6727 6.6880 6.4768
La 7.5922 6.6880 13.0249
La 0.5844 2.2293 0.0713
Cl 1.3235 2.2293 10.4628
Cl 6.8531 6.6880 2.6334
Cl 5.4118 6.6880 9.1814
Cl 2.7648 2.2293 3.9147
Cl 5.1317 2.2293 8.8729
Cl 3.0449 6.6880 4.2233
Cl 1.0434 6.6880 10.7714
Cl 7.1332 2.2293 2.3248
Cl 0.7034 2.2293 6.6716
Cl 7.4732 6.6880 6.4245
Cl 4.7917 6.6880 12.9726
Cl 3.3849 2.2293 0.1235
Cl 2.7674 8.5457 7.5599
Cl 5.4092 0.3717 5.5363
Cl 6.8557 0.3717 12.0844
Cl 5.4092 4.0870 5.5363
Cl 1.3209 8.5457 1.0118
Cl 2.7674 4.8304 7.5599
Cl 1.3209 4.8304 1.0118
Cl 6.8557 4.0870 12.0844
```

Summary:
Volume (Å³ per cell): 955
Density of states at the Fermi level (states/eV/f.u.): 0.00
Formation energy without anion corrections (eV per atom): -2.22
VASP energy (eV/cell): -140.74
Symmetry: Pnma (62)

***

Entry 9:
Material: Cu3IrAu
Method: DFT, PBEsol
State: relaxed

Cell and atoms, written as extended XYZ:
```
5
Lattice="4.5372 0.0000 0.0000 0.0000 4.5372 0.0000 0.0000 0.0000 4.5372" Properties=species:S:1:pos:R:3 pbc="T T T"
Ir 0.0000 0.0000 0.0000
Au 2.2686 2.2686 2.2686
Cu 0.0000 2.2686 0.0000
Cu 0.0000 0.0000 2.2686
Cu 2.2686 0.0000 0.0000
```

Summary:
Volume (Å³ per cell): 93
Density of states at the Fermi level (states/eV/f.u.): 5.51
VASP energy (eV/cell): -20.10
Symmetry: Pm-3m (221)
DFT formation energy (eV per atom): 1.33

***

Entry 10:
Material: Tl2CuNi
Method: DFT, PBEsol
State: relaxed

Cell and atoms, written as extended XYZ:
```
4
Lattice="-3.8763 2.5796 -0.2615 -4.1343 -1.8916 1.0383 -2.2287 1.2616 3.8974" Properties=species:S:1:pos:R:3 pbc="T T T"
Cu -5.1196 0.9748 2.3371
Ni -2.5598 0.4874 1.1686
Tl 0.0000 0.0000 0.0000
Tl -7.6794 1.4622 3.5057
```

Summary:
Volume (Å³ per cell): 72
Density of states at the Fermi level (states/eV/f.u.): 1.33
VASP energy (eV/cell): -13.62
Symmetry: F-43m (216)
DFT formation energy (eV per atom): 0.53

***

Entry 11:
Material: AlSbP2
Method: DFT, PBEsol
State: relaxed

Cell and atoms, written as extended XYZ:
```
4
Lattice="3.7393 0.0000 0.0000 0.0000 4.4531 -0.0141 0.0000 -1.2796 4.7177" Properties=species:S:1:pos:R:3 pbc="T T T"
P 0.0000 0.7275 0.8242
P 0.0000 2.4460 3.8794
Al 1.8697 2.2265 -0.0071
Sb 1.8697 -0.6398 2.3589
```

Summary:
Volume (Å³ per cell): 78
Density of states at the Fermi level (states/eV/f.u.): 1.09
Formation energy without anion corrections (eV per atom): -0.07
VASP energy (eV/cell): -20.52
Symmetry: P2/m (10)
Relative energy among the computed polymorphs (meV/atom): 24

***

Entry 12:
Material: Sr2Ag2Te
Method: DFT, PBEsol
State: relaxed

Cell and atoms, written as extended XYZ:
```
5
Lattice="3.9516 0.0000 0.0000 0.0000 3.9516 0.0000 -1.9758 -1.9758 9.0601" Properties=species:S:1:pos:R:3 pbc="T T T"
Sr 0.0000 0.0000 7.1201
Sr 1.9758 1.9758 1.9400
Te 0.0000 0.0000 0.0000
Ag 0.0000 1.9758 4.5300
Ag 1.9758 0.0000 4.5300
```

Summary:
Volume (Å³ per cell): 141
Density of states at the Fermi level (states/eV/f.u.): 2.23
Formation energy without anion corrections (eV per atom): -0.64
VASP energy (eV/cell): -17.03
Symmetry: I4/mmm (139)